[1]
Density functional theory data (PBE-GGA) for a relaxed Li2Pr2YTl2 crystal.

**VASP energy**: -3.719 eV/atom
**Energy of formation**: -207.3 meV per atom

Cell lengths 4.8723, 4.8723, 27.6325 Å; angles 90.00, 90.00, 120.00 degrees
Space group R-3m (No. 166, hexagonal axes)
Inequivalent atoms, fractional coordinates:
Li  0.0000  0.0000  0.1096 [6 per cell]
Pr  0.0000  0.0000  0.3733 [6 per cell]
Y  0.0000  0.0000  0.5000 [3 per cell]
Tl  0.0000  0.0000  0.2330 [6 per cell]



[2]
Density functional theory data (PBE-GGA) for a relaxed Cs2SBr6F crystal.

**VASP energy**: -2.549 eV/atom
**Raw formation energy**: -774.6 meV per atom

Cell lengths 7.362, 7.362, 11.620 Å; angles 90.00, 90.00, 90.00 degrees
Space group I4/mmm (No. 139)
Inequivalent atoms, fractional coordinates:
Cs  0.000  0.500  0.250 [4 per cell]
S  0.000  0.000  0.000 [2 per cell]
Br  0.000  0.000  0.216 [4 per cell]
Br  0.243  0.243  0.000 [8 per cell]
F  0.000  0.000  0.500 [2 per cell]



[3]
Density functional theory data (PBE-GGA) for a relaxed ZnCoRh crystal.

**VASP energy**: -5.332 eV/atom
**Energy above the lowest structure with this stoichiometry**: 4 kJ/mol of formula units
**Energy of formation**: -88.3 meV per atom

Cell lengths 2.762, 3.572, 7.964 Å; angles 90.00, 90.00, 90.00 degrees
Space group Imm2 (No. 44)
Inequivalent atoms, fractional coordinates:
Zn  0.000  0.000  0.000 [2 per cell]
Co  0.000  0.000  0.667 [2 per cell]
Rh  0.000  0.000  0.328 [2 per cell]



[4]
Density functional theory data (PBE-GGA) for a relaxed SrAl2Ga4Ag crystal.

**VASP energy**: -3.141 eV/atom
**Energy of formation**: -125.1 meV per atom

Cell lengths 4.6283, 4.6283, 27.2314 Å; angles 90.00, 90.00, 120.00 degrees
Space group R-3m (No. 166, hexagonal axes)
Inequivalent atoms, fractional coordinates:
Sr  0.0000  0.0000  0.0000 [3 per cell]
Al  0.0000  0.0000  0.2405 [6 per cell]
Ga  0.0000  0.0000  0.1321 [6 per cell]
Ga  0.0000  0.0000  0.4015 [6 per cell]
Ag  0.0000  0.0000  0.5000 [3 per cell]



[5]
Density functional theory data (PBE-GGA) for a relaxed Mg2Te crystal.

**VASP energy**: -2.435 eV/atom
**Raw formation energy**: -324.8 meV per atom

Cell lengths 4.1031, 4.1031, 17.6582 Å; angles 90.00, 90.00, 120.00 degrees
Space group R3m (No. 160, hexagonal axes)
Inequivalent atoms, fractional coordinates:
Mg  0.0000  0.0000  0.0000 [3 per cell]
Mg  0.0000  0.0000  0.1991 [3 per cell]
Te  0.0000  0.0000  0.4324 [3 per cell]



[6]
Density functional theory data (PBE-GGA) for a relaxed Cr2C crystal.

**VASP energy**: -9.438 eV/atom
**Energy of formation**: 52.4 meV per atom

Cell lengths 8.145, 2.810, 5.836 Å; angles 90.00, 123.60, 90.00 degrees
Space group C2/m (No. 12)
Inequivalent atoms, fractional coordinates:
Cr  0.081  0.000  0.383 [4 per cell]
Cr  0.164  0.500  0.071 [4 per cell]
C  0.155  0.500  0.690 [4 per cell]



[7]
Density functional theory data (PBE-GGA) for a relaxed K2HgO crystal.

**VASP energy**: -2.607 eV/atom
**Energy above the lowest structure with this stoichiometry**: 0 kJ/mol of formula units
**Raw formation energy**: -743.7 meV per atom

Cell lengths 4.0631, 4.0631, 26.2843 Å; angles 90.00, 90.00, 120.00 degrees
Space group R3m (No. 160, hexagonal axes)
Inequivalent atoms, fractional coordinates:
K  0.0000  0.0000  0.0000 [3 per cell]
K  0.0000  0.0000  0.2391 [3 per cell]
Hg  0.0000  0.0000  0.4549 [3 per cell]
O  0.0000  0.0000  0.6192 [3 per cell]



[8]
Density functional theory data (PBE-GGA) for a relaxed BaIn3Pt crystal.

**VASP energy**: -3.604 eV/atom
**Energy of formation**: -368.2 meV per atom

Cell lengths 5.297, 5.297, 5.297 Å; angles 90.00, 90.00, 90.00 degrees
Space group Pm-3m (No. 221)
Inequivalent atoms, fractional coordinates:
Ba  0.000  0.000  0.000 [1 per cell]
In  0.000  0.500  0.500 [3 per cell]
Pt  0.500  0.500  0.500 [1 per cell]